# PBEsol Cr2TcAs, relaxed
data_Cr2TcAs
_chemical_formula_sum 'Cr2 Tc1 As1'
_space_group_name_H-M_alt 'P 1'
_space_group_IT_number 1
_space_group_name_Hall 'P 1'
_cell_length_a 3.5406
_cell_length_b 3.5406
_cell_length_c 4.7661
_cell_angle_alpha 111.80
_cell_angle_beta 111.80
_cell_angle_gamma 90.00
loop_
_atom_site_label
_atom_site_type_symbol
_atom_site_fract_x
_atom_site_fract_y
_atom_site_fract_z
Tc1 Tc 0.5000 0.5000 0.0000
Cr1 Cr 0.7500 0.2500 0.5000
As1 As 0.2500 0.7500 0.5000
Cr2 Cr 0.0000 0.0000 0.0000
# space group: I-4m2
# final energy: -9.135 eV per atom
# D(E_F): 4.27 states/eV/f.u.
# magnetization: 0.0973 μB/atom
# ΔH_f (0 K): 0.079 eV per atom